# PBE AlAg2Br, relaxed
# Excess energy over the best structure of this formula in the dataset ... 0.72 eV per formula unit
# Energy ... -0.1924 Ry per atom
# ΔE_f (raw) ... 3.7 kcal/mol of atoms
data_AlAg2Br
_chemical_formula_sum 'Al1 Ag2 Br1'
_cell_length_a 5.208
_cell_length_b 5.208
_cell_length_c 3.292
_cell_angle_alpha 90.00
_cell_angle_beta 90.00
_cell_angle_gamma 114.03
_space_group_name_H-M_alt 'P 1'
_space_group_IT_number 1
loop_
_space_group_symop_operation_xyz
'x,y,z'
loop_
_atom_site_label
_atom_site_fract_x
_atom_site_fract_y
_atom_site_fract_z
_atom_site_occupancy
Al1 0.000 0.000 0.000 1
Ag1 0.000 0.500 0.500 1
Ag2 0.500 0.000 0.500 1
Br1 0.500 0.500 0.000 1

---

# PBE Na2NpPbSe4, relaxed
# Energy ... -0.3796 Ry per atom
# ΔE_f (raw) ... -23.3 kcal/mol of atoms
data_Na2NpPbSe4
_chemical_formula_sum 'Na2 Np1 Pb1 Se4'
_cell_length_a 7.334
_cell_length_b 4.253
_cell_length_c 7.499
_cell_angle_alpha 90.00
_cell_angle_beta 109.27
_cell_angle_gamma 90.00
_space_group_name_H-M_alt 'P 1'
_space_group_IT_number 1
loop_
_space_group_symop_operation_xyz
'x,y,z'
loop_
_atom_site_label
_atom_site_fract_x
_atom_site_fract_y
_atom_site_fract_z
_atom_site_occupancy
Na1 0.000 0.000 0.000 1
Na2 0.000 0.500 0.500 1
Np1 0.500 0.000 0.500 1
Pb1 0.500 0.500 0.000 1
Se1 0.265 0.000 0.729 1
Se2 0.271 0.500 0.273 1
Se3 0.729 0.500 0.727 1
Se4 0.735 0.000 0.271 1

---

# PBE AgTe2Br, relaxed
# Energy ... -0.1906 Ry per atom
# ΔE_f (raw) ... 2.5 kcal/mol of atoms
data_AgTe2Br
_chemical_formula_sum 'Ag1 Te2 Br1'
_cell_length_a 4.034
_cell_length_b 4.034
_cell_length_c 7.614
_cell_angle_alpha 90.00
_cell_angle_beta 90.00
_cell_angle_gamma 106.89
_space_group_name_H-M_alt 'P 1'
_space_group_IT_number 1
loop_
_space_group_symop_operation_xyz
'x,y,z'
loop_
_atom_site_label
_atom_site_fract_x
_atom_site_fract_y
_atom_site_fract_z
_atom_site_occupancy
Ag1 0.000 0.000 0.000 1
Te1 0.500 0.500 0.189 1
Te2 0.500 0.500 0.811 1
Br1 0.000 0.000 0.500 1

---

# PBE LaNdScSe3, relaxed
# Energy ... -0.4466 Ry per atom
# ΔE_f (raw) ... -38.4 kcal/mol of atoms
data_LaNdScSe3
_chemical_formula_sum 'La2 Nd2 Sc2 Se6'
_cell_length_a 8.661
_cell_length_b 4.152
_cell_length_c 9.390
_cell_angle_alpha 90.00
_cell_angle_beta 104.50
_cell_angle_gamma 90.00
_space_group_name_H-M_alt 'P 1'
_space_group_IT_number 1
loop_
_space_group_symop_operation_xyz
'x,y,z'
loop_
_atom_site_label
_atom_site_fract_x
_atom_site_fract_y
_atom_site_fract_z
_atom_site_occupancy
La1 0.180 0.250 0.215 1
La2 0.820 0.750 0.785 1
Nd1 0.349 0.750 0.858 1
Nd2 0.651 0.250 0.142 1
Sc1 0.104 0.250 0.599 1
Sc2 0.896 0.750 0.401 1
Se1 0.098 0.250 0.879 1
Se2 0.227 0.750 0.490 1
Se3 0.426 0.750 0.187 1
Se4 0.574 0.250 0.813 1
Se5 0.773 0.250 0.510 1
Se6 0.902 0.750 0.121 1

---

# PBE CdNiBr2, relaxed
# Excess energy over the best structure of this formula in the dataset ... 0.01 eV per formula unit
# Energy ... -0.2021 Ry per atom
# ΔE_f (raw) ... -5.5 kcal/mol of atoms
data_CdNiBr2
_chemical_formula_sum 'Cd1 Ni1 Br2'
_cell_length_a 3.932
_cell_length_b 3.622
_cell_length_c 7.577
_cell_angle_alpha 90.00
_cell_angle_beta 105.04
_cell_angle_gamma 90.00
_space_group_name_H-M_alt 'P 1'
_space_group_IT_number 1
loop_
_space_group_symop_operation_xyz
'x,y,z'
loop_
_atom_site_label
_atom_site_fract_x
_atom_site_fract_y
_atom_site_fract_z
_atom_site_occupancy
Cd1 0.000 0.000 0.000 1
Ni1 0.455 0.500 0.912 1
Br1 0.341 0.000 0.683 1
Br2 0.625 0.500 0.230 1

---

# PBE NdErPt3, relaxed
# Energy ... -0.4856 Ry per atom
# E_form ... -1116 meV/atom
data_NdErPt3
_chemical_formula_sum 'Nd2 Er2 Pt6'
_cell_length_a 13.630
_cell_length_b 13.630
_cell_length_c 4.268
_cell_angle_alpha 90.00
_cell_angle_beta 90.00
_cell_angle_gamma 163.74
_space_group_name_H-M_alt 'P 1'
_space_group_IT_number 1
loop_
_space_group_symop_operation_xyz
'x,y,z'
loop_
_atom_site_label
_atom_site_fract_x
_atom_site_fract_y
_atom_site_fract_z
_atom_site_occupancy
Nd1 0.075 0.925 0.750 1
Nd2 0.925 0.075 0.250 1
Er1 0.207 0.793 0.250 1
Er2 0.793 0.207 0.750 1
Pt1 0.312 0.688 0.250 1
Pt2 0.375 0.625 0.750 1
Pt3 0.472 0.528 0.750 1
Pt4 0.528 0.472 0.250 1
Pt5 0.625 0.375 0.250 1
Pt6 0.688 0.312 0.750 1

---

# PBE PrSmBr3, relaxed
# Excess energy over the best structure of this formula in the dataset ... 0.00 eV per formula unit
# Energy ... -0.3253 Ry per atom
# ΔE_f (raw) ... -35.1 kcal/mol of atoms
data_PrSmBr3
_chemical_formula_sum 'Pr2 Sm2 Br6'
_cell_length_a 9.017
_cell_length_b 9.017
_cell_length_c 11.453
_cell_angle_alpha 120.47
_cell_angle_beta 120.47
_cell_angle_gamma 26.15
_space_group_name_H-M_alt 'P 1'
_space_group_IT_number 1
loop_
_space_group_symop_operation_xyz
'x,y,z'
loop_
_atom_site_label
_atom_site_fract_x
_atom_site_fract_y
_atom_site_fract_z
_atom_site_occupancy
Pr1 0.139 0.139 0.289 1
Pr2 0.861 0.861 0.711 1
Sm1 0.420 0.420 0.045 1
Sm2 0.580 0.580 0.955 1
Br1 0.042 0.042 0.745 1
Br2 0.221 0.221 0.118 1
Br3 0.341 0.341 0.493 1
Br4 0.659 0.659 0.507 1
Br5 0.779 0.779 0.882 1
Br6 0.958 0.958 0.255 1

---

# PBE Pr2SnBi3, relaxed
# Energy ... -0.3449 Ry per atom
# E_form ... -491 meV/atom
data_Pr2SnBi3
_chemical_formula_sum 'Pr2 Sn1 Bi3'
_cell_length_a 8.154
_cell_length_b 8.154
_cell_length_c 8.154
_cell_angle_alpha 147.79
_cell_angle_beta 132.34
_cell_angle_gamma 58.69
_space_group_name_H-M_alt 'P 1'
_space_group_IT_number 1
loop_
_space_group_symop_operation_xyz
'x,y,z'
loop_
_atom_site_label
_atom_site_fract_x
_atom_site_fract_y
_atom_site_fract_z
_atom_site_occupancy
Pr1 0.165 0.165 0.000 1
Pr2 0.835 0.835 0.000 1
Sn1 0.500 0.500 0.000 1
Bi1 0.000 0.500 0.500 1
Bi2 0.332 0.832 0.500 1
Bi3 0.668 0.168 0.500 1

---

# PBE FeTcPb2, relaxed
# Excess energy over the best structure of this formula in the dataset ... 2.00 eV per formula unit
# Energy ... -0.4200 Ry per atom
# E_form ... 848 meV/atom
data_FeTcPb2
_chemical_formula_sum 'Fe1 Tc1 Pb2'
_cell_length_a 3.199
_cell_length_b 3.199
_cell_length_c 8.708
_cell_angle_alpha 90.00
_cell_angle_beta 90.00
_cell_angle_gamma 115.39
_space_group_name_H-M_alt 'P 1'
_space_group_IT_number 1
loop_
_space_group_symop_operation_xyz
'x,y,z'
loop_
_atom_site_label
_atom_site_fract_x
_atom_site_fract_y
_atom_site_fract_z
_atom_site_occupancy
Fe1 0.000 0.000 0.000 1
Tc1 0.000 0.000 0.500 1
Pb1 0.500 0.500 0.247 1
Pb2 0.500 0.500 0.753 1

---

# PBE BaMn2Au, relaxed
# Energy ... -0.4108 Ry per atom
# E_form ... 295 meV/atom
data_BaMn2Au
_chemical_formula_sum 'Ba1 Mn2 Au1'
_cell_length_a 3.606
_cell_length_b 3.606
_cell_length_c 7.356
_cell_angle_alpha 90.00
_cell_angle_beta 90.00
_cell_angle_gamma 90.00
_space_group_name_H-M_alt 'P 1'
_space_group_IT_number 1
loop_
_space_group_symop_operation_xyz
'x,y,z'
loop_
_atom_site_label
_atom_site_fract_x
_atom_site_fract_y
_atom_site_fract_z
_atom_site_occupancy
Ba1 0.000 0.000 0.000 1
Mn1 0.000 0.000 0.511 1
Mn2 0.500 0.500 0.329 1
Au1 0.500 0.500 0.687 1

---

# PBE Cu2GeTe3, relaxed
# Excess energy over the best structure of this formula in the dataset ... 0.01 eV per formula unit
# Energy ... -0.2794 Ry per atom
# ΔE_f (raw) ... -2.2 kcal/mol of atoms
data_Cu2GeTe3
_chemical_formula_sum 'Cu4 Ge2 Te6'
_cell_length_a 7.398
_cell_length_b 7.398
_cell_length_c 7.431
_cell_angle_alpha 99.58
_cell_angle_beta 99.58
_cell_angle_gamma 120.07
_space_group_name_H-M_alt 'P 1'
_space_group_IT_number 1
loop_
_space_group_symop_operation_xyz
'x,y,z'
loop_
_atom_site_label
_atom_site_fract_x
_atom_site_fract_y
_atom_site_fract_z
_atom_site_occupancy
Cu1 0.083 0.917 0.500 1
Cu2 0.237 0.735 0.998 1
Cu3 0.735 0.237 0.498 1
Cu4 0.917 0.083 0.000 1
Ge1 0.394 0.567 0.484 1
Ge2 0.567 0.394 0.984 1
Te1 0.014 0.184 0.368 1
Te2 0.184 0.014 0.868 1
Te3 0.363 0.872 0.364 1
Te4 0.537 0.715 0.876 1
Te5 0.715 0.537 0.376 1
Te6 0.872 0.363 0.864 1

---

# PBE Cs2HfTeS4, relaxed
# Energy ... -0.3464 Ry per atom
# ΔE_f (raw) ... -18.4 kcal/mol of atoms
data_Cs2HfTeS4
_chemical_formula_sum 'Cs4 Hf2 Te2 S8'
_cell_length_a 15.668
_cell_length_b 13.835
_cell_length_c 8.383
_cell_angle_alpha 86.00
_cell_angle_beta 61.74
_cell_angle_gamma 32.26
_space_group_name_H-M_alt 'P 1'
_space_group_IT_number 1
loop_
_space_group_symop_operation_xyz
'x,y,z'
loop_
_atom_site_label
_atom_site_fract_x
_atom_site_fract_y
_atom_site_fract_z
_atom_site_occupancy
Cs1 0.047 0.047 0.703 1
Cs2 0.297 0.297 0.953 1
Cs3 0.703 0.703 0.047 1
Cs4 0.953 0.953 0.297 1
Hf1 0.125 0.125 0.125 1
Hf2 0.875 0.875 0.875 1
Te1 0.375 0.375 0.375 1
Te2 0.625 0.625 0.625 1
S1 0.078 0.286 0.374 1
S2 0.237 0.626 0.714 1
S3 0.286 0.078 0.763 1
S4 0.374 0.763 0.078 1
S5 0.626 0.237 0.922 1
S6 0.714 0.922 0.237 1
S7 0.763 0.374 0.286 1
S8 0.922 0.714 0.626 1

---

# PBE CsRb2Au, relaxed
# Excess energy over the best structure of this formula in the dataset ... 0.21 eV per formula unit
# Energy ... -0.1195 Ry per atom
# E_form ... -109 meV/atom
data_CsRb2Au
_chemical_formula_sum 'Cs1 Rb2 Au1'
_cell_length_a 9.558
_cell_length_b 9.558
_cell_length_c 9.558
_cell_angle_alpha 35.72
_cell_angle_beta 35.72
_cell_angle_gamma 35.72
_space_group_name_H-M_alt 'P 1'
_space_group_IT_number 1
loop_
_space_group_symop_operation_xyz
'x,y,z'
loop_
_atom_site_label
_atom_site_fract_x
_atom_site_fract_y
_atom_site_fract_z
_atom_site_occupancy
Cs1 0.000 0.000 0.000 1
Rb1 0.537 0.537 0.537 1
Rb2 0.776 0.776 0.776 1
Au1 0.148 0.148 0.148 1

---

# PBE Sm8Zn2Pd, relaxed
# Energy ... -0.3202 Ry per atom
# E_form ... -221 meV/atom
data_Sm8Zn2Pd
_chemical_formula_sum 'Sm8 Zn2 Pd1'
_cell_length_a 9.389
_cell_length_b 9.389
_cell_length_c 6.835
_cell_angle_alpha 101.32
_cell_angle_beta 101.32
_cell_angle_gamma 31.95
_space_group_name_H-M_alt 'P 1'
_space_group_IT_number 1
loop_
_space_group_symop_operation_xyz
'x,y,z'
loop_
_atom_site_label
_atom_site_fract_x
_atom_site_fract_y
_atom_site_fract_z
_atom_site_occupancy
Sm1 0.027 0.027 0.273 1
Sm2 0.202 0.202 0.819 1
Sm3 0.341 0.341 0.535 1
Sm4 0.409 0.409 0.051 1
Sm5 0.591 0.591 0.949 1
Sm6 0.659 0.659 0.465 1
Sm7 0.798 0.798 0.181 1
Sm8 0.973 0.973 0.727 1
Zn1 0.192 0.192 0.243 1
Zn2 0.808 0.808 0.757 1
Pd1 0.500 0.500 0.500 1

---

# PBE KNiSeN2, relaxed
# Excess energy over the best structure of this formula in the dataset ... 0.00 eV per formula unit
# Energy ... -0.3133 Ry per atom
# ΔE_f (raw) ... 26.3 kcal/mol of atoms
data_KNiSeN2
_chemical_formula_sum 'K1 Ni1 Se1 N2'
_cell_length_a 3.965
_cell_length_b 3.965
_cell_length_c 4.968
_cell_angle_alpha 90.00
_cell_angle_beta 90.00
_cell_angle_gamma 90.00
_space_group_name_H-M_alt 'P 1'
_space_group_IT_number 1
loop_
_space_group_symop_operation_xyz
'x,y,z'
loop_
_atom_site_label
_atom_site_fract_x
_atom_site_fract_y
_atom_site_fract_z
_atom_site_occupancy
K1 0.000 0.000 0.000 1
Ni1 0.500 0.500 0.500 1
Se1 0.500 0.500 0.000 1
N1 0.000 0.500 0.500 1
N2 0.500 0.000 0.500 1

---

# PBE ScV3Co, relaxed
# Excess energy over the best structure of this formula in the dataset ... 0.00 eV per formula unit
# Energy ... -0.5595 Ry per atom
# E_form ... 546 meV/atom
data_ScV3Co
_chemical_formula_sum 'Sc1 V3 Co1'
_cell_length_a 4.390
_cell_length_b 4.390
_cell_length_c 4.390
_cell_angle_alpha 90.00
_cell_angle_beta 90.00
_cell_angle_gamma 90.00
_space_group_name_H-M_alt 'P 1'
_space_group_IT_number 1
loop_
_space_group_symop_operation_xyz
'x,y,z'
loop_
_atom_site_label
_atom_site_fract_x
_atom_site_fract_y
_atom_site_fract_z
_atom_site_occupancy
Sc1 0.000 0.000 0.000 1
V1 0.000 0.500 0.500 1
V2 0.500 0.000 0.500 1
V3 0.500 0.500 0.000 1
Co1 0.500 0.500 0.500 1

---

# PBE VInSi2Tc, relaxed
# Energy ... -0.4418 Ry per atom
# ΔE_f (raw) ... 13.9 kcal/mol of atoms
data_VInSi2Tc
_chemical_formula_sum 'V1 In1 Si2 Tc1'
_cell_length_a 4.643
_cell_length_b 4.643
_cell_length_c 4.779
_cell_angle_alpha 90.00
_cell_angle_beta 90.00
_cell_angle_gamma 90.00
_space_group_name_H-M_alt 'P 1'
_space_group_IT_number 1
loop_
_space_group_symop_operation_xyz
'x,y,z'
loop_
_atom_site_label
_atom_site_fract_x
_atom_site_fract_y
_atom_site_fract_z
_atom_site_occupancy
V1 0.000 0.000 0.000 1
In1 0.500 0.500 0.000 1
Si1 0.000 0.500 0.500 1
Si2 0.500 0.000 0.500 1
Tc1 0.000 0.000 0.500 1

---

# PBE Co3Ni4, relaxed
# Excess energy over the best structure of this formula in the dataset ... 0.81 eV per formula unit
# Energy ... -0.4586 Ry per atom
# E_form ... 109 meV/atom
data_Co3Ni4
_chemical_formula_sum 'Co3 Ni4'
_cell_length_a 5.976
_cell_length_b 5.976
_cell_length_c 6.118
_cell_angle_alpha 115.94
_cell_angle_beta 115.94
_cell_angle_gamma 23.53
_space_group_name_H-M_alt 'P 1'
_space_group_IT_number 1
loop_
_space_group_symop_operation_xyz
'x,y,z'
loop_
_atom_site_label
_atom_site_fract_x
_atom_site_fract_y
_atom_site_fract_z
_atom_site_occupancy
Co1 0.000 0.000 0.000 1
Co2 0.225 0.225 0.147 1
Co3 0.775 0.775 0.853 1
Ni1 0.077 0.077 0.704 1
Ni2 0.362 0.362 0.600 1
Ni3 0.638 0.638 0.400 1
Ni4 0.923 0.923 0.296 1

---

# PBE LiSc12Al4O3, relaxed
# Energy ... -0.4661 Ry per atom
# ΔE_f (raw) ... -22.0 kcal/mol of atoms
data_LiSc12Al4O3
_chemical_formula_sum 'Li1 Sc12 Al4 O3'
_cell_length_a 7.804
_cell_length_b 7.804
_cell_length_c 7.804
_cell_angle_alpha 109.47
_cell_angle_beta 109.47
_cell_angle_gamma 109.47
_space_group_name_H-M_alt 'P 1'
_space_group_IT_number 1
loop_
_space_group_symop_operation_xyz
'x,y,z'
loop_
_atom_site_label
_atom_site_fract_x
_atom_site_fract_y
_atom_site_fract_z
_atom_site_occupancy
Li1 0.000 0.000 0.000 1
Sc1 0.000 0.263 0.263 1
Sc2 0.000 0.737 0.737 1
Sc3 0.250 0.500 0.750 1
Sc4 0.250 0.750 0.500 1
Sc5 0.263 0.000 0.263 1
Sc6 0.263 0.263 0.000 1
Sc7 0.500 0.250 0.750 1
Sc8 0.500 0.750 0.250 1
Sc9 0.737 0.000 0.737 1
Sc10 0.737 0.737 0.000 1
Sc11 0.750 0.250 0.500 1
Sc12 0.750 0.500 0.250 1
Al1 0.000 0.000 0.500 1
Al2 0.000 0.500 0.000 1
Al3 0.500 0.000 0.000 1
Al4 0.500 0.500 0.500 1
O1 0.000 0.500 0.500 1
O2 0.500 0.000 0.500 1
O3 0.500 0.500 0.000 1

---

# PBE Cs2BAs, relaxed
# Excess energy over the best structure of this formula in the dataset ... 0.93 eV per formula unit
# Energy ... -0.1456 Ry per atom
# E_form ... 1278 meV/atom
data_Cs2BAs
_chemical_formula_sum 'Cs4 B2 As2'
_cell_length_a 11.808
_cell_length_b 11.808
_cell_length_c 11.808
_cell_angle_alpha 152.19
_cell_angle_beta 152.19
_cell_angle_gamma 39.74
_space_group_name_H-M_alt 'P 1'
_space_group_IT_number 1
loop_
_space_group_symop_operation_xyz
'x,y,z'
loop_
_atom_site_label
_atom_site_fract_x
_atom_site_fract_y
_atom_site_fract_z
_atom_site_occupancy
Cs1 0.106 0.625 0.981 1
Cs2 0.375 0.356 0.481 1
Cs3 0.644 0.125 0.019 1
Cs4 0.875 0.894 0.519 1
B1 0.000 0.000 0.000 1
B2 0.750 0.250 0.500 1
As1 0.250 0.750 0.500 1
As2 0.500 0.500 0.000 1